No. 1
CrIrBr2 | GGA-PBE | optimized geometry

Cell: 3.1902 5.9764 4.2218 Å, 90.00 90.00 90.00°
Closest atoms and distances in Å follow each position.
Atoms (fractional coordinates):
Br: 0.5000 0.5000 0.0000  4 Ir 2.65
Br: 0.0000 0.0000 0.0000  4 Cr 2.65
Ir: 0.0000 0.5000 0.5000  4 Br 2.65
Cr: 0.5000 0.0000 0.5000  4 Br 2.65

Values from the calculation:
The calculation puts the electronic total energy at -4.777 eV/atom. For the energy above the lowest structure with this stoichiometry, the calculation gives 2.660 eV per formula unit. The crystal system is orthorhombic. Its energy relative to the elements, uncorrected is 680.9 meV per atom.



No. 2
Sc3Nb | GGA-PBE | optimized geometry

Cell: 4.9861 4.9861 4.9861 Å, 60.00 60.00 60.00°
Closest atoms and distances in Å follow each position.
Atoms (fractional coordinates):
Sc: 0.2500 0.2500 0.2500  4 Nb 3.05, 4 Sc 3.05
Sc: 0.7500 0.7500 0.7500  4 Nb 3.05, 4 Sc 3.05
Sc: 0.0000 0.0000 0.0000  8 Sc 3.05
Nb: 0.5000 0.5000 0.5000  8 Sc 3.05

Values from the calculation:
The calculation puts the electronic total energy at -7.068 eV/atom. Its formation energy is 0.1977 eV per atom. The crystal system is cubic.



No. 3
Fe4PCl | GGA-PBE | optimized geometry

Cell: 4.9536 4.9536 4.9536 Å, 60.00 60.00 60.00°
Closest atoms and distances in Å follow each position.
Atoms (fractional coordinates):
Fe: 0.3762 0.8714 0.3762  6 Fe 2.45-2.50
Fe: 0.8714 0.3762 0.3762  6 Fe 2.45-2.50
Fe: 0.3762 0.3762 0.3762  6 Fe 2.45-2.50
Fe: 0.3762 0.3762 0.8714  6 Fe 2.45-2.50
Cl: 0.0000 0.0000 0.0000  12 Fe 2.91, 4 P 3.03
P: 0.7500 0.7500 0.7500  12 Fe 2.90, 4 Cl 3.03

Values from the calculation:
The calculation puts the electronic total energy at -6.248 eV/atom. The crystal system is cubic. Its energy relative to the elements, uncorrected is 603.3 meV per atom.



No. 4
Ho2TmBi3 | GGA-PBE | optimized geometry

Cell: 4.4492 6.2876 7.7056 Å, 114.08 106.78 90.00°
Closest atoms and distances in Å follow each position.
Atoms (fractional coordinates):
Ho: 0.8329 0.8329 0.1659  6 Bi 3.14-3.15
Ho: 0.1671 0.1671 0.8341  6 Bi 3.14-3.15
Bi: 0.8346 0.3346 0.1691  2 Tm 3.13, 4 Ho 3.14-3.15
Bi: 0.1654 0.6654 0.8309  2 Tm 3.13, 4 Ho 3.14-3.15
Bi: 0.5000 0.0000 0.5000  2 Tm 3.14, 4 Ho 3.15
Tm: 0.5000 0.5000 0.5000  6 Bi 3.13-3.14

Values from the calculation:
The calculation puts the electronic total energy at -5.030 eV/atom. Its formation energy is -0.8179 eV per atom. The crystal system is orthorhombic.



No. 5
Nd2Ni4C | GGA-PBE | optimized geometry

Cell: 5.1110 5.1110 5.7923 Å, 116.18 116.18 90.00°
Closest atoms and distances in Å follow each position.
Atoms (fractional coordinates):
Nd: 0.2500 0.7500 0.5000  8 Ni 2.90
Nd: 0.7500 0.2500 0.5000  8 Ni 2.90
C: 0.5000 0.5000 0.0000  4 Ni 1.87
Ni: 0.2412 0.2412 0.0000  1 C 1.87
Ni: 0.2412 0.7588 0.0000  1 C 1.87
Ni: 0.7588 0.2412 0.0000  1 C 1.87
Ni: 0.7588 0.7588 0.0000  1 C 1.87

Values from the calculation:
The calculation puts the electronic total energy at -6.025 eV/atom. For the energy above the lowest structure with this stoichiometry, the calculation gives 0.946 eV per formula unit. Its formation energy is -0.0413 eV per atom. The crystal system is tetragonal.



No. 6
LiOsI3 | GGA-PBE | optimized geometry

Cell: 5.5252 5.5252 5.5252 Å, 90.00 90.00 90.00°
Closest atoms and distances in Å follow each position.
Atoms (fractional coordinates):
I: 0.5000 0.0000 0.0000  2 Os 2.76
I: 0.0000 0.0000 0.5000  2 Os 2.76
I: 0.0000 0.5000 0.0000  2 Os 2.76
Os: 0.0000 0.0000 0.0000  6 I 2.76
Li: 0.5000 0.5000 0.5000  12 I 3.91

Values from the calculation:
The calculation puts the electronic total energy at -3.235 eV/atom. For the energy above the lowest structure with this stoichiometry, the calculation gives 0.000 eV per formula unit. The crystal system is cubic. Its energy relative to the elements, uncorrected is 323.4 meV per atom.



No. 7
Rb2CuIrI6 | GGA-PBE | optimized geometry

Cell: 7.9692 7.9692 7.9528 Å, 59.93 59.93 90.00°
Closest atoms and distances in Å follow each position.
Atoms (fractional coordinates):
I: 0.7559 0.7559 0.4882  1 Ir 2.74, 1 Cu 2.87
I: 0.7570 0.2430 0.0000  1 Ir 2.74, 1 Cu 2.90
I: 0.2441 0.2441 0.5118  1 Ir 2.74, 1 Cu 2.87
I: 0.7570 0.7570 0.0000  1 Ir 2.74, 1 Cu 2.90
I: 0.2430 0.2430 0.0000  1 Ir 2.74, 1 Cu 2.90
I: 0.2430 0.7570 0.0000  1 Ir 2.74, 1 Cu 2.90
Rb: 0.2500 0.7500 0.5000  12 I 3.98-3.99
Rb: 0.7500 0.2500 0.5000  12 I 3.98-3.99
Ir: 0.0000 0.0000 0.0000  6 I 2.74
Cu: 0.5000 0.5000 0.0000  6 I 2.87-2.90

Values from the calculation:
The calculation puts the electronic total energy at -2.949 eV/atom. The crystal system is tetragonal. Its energy relative to the elements, uncorrected is -530.0 meV per atom.



No. 8
Ce2ZnCu | GGA-PBE | optimized geometry

Cell: 2.9933 2.9933 11.3260 Å, 82.41 82.41 60.00°
Closest atoms and distances in Å follow each position.
Atoms (fractional coordinates):
Ce: 0.0931 0.0931 0.7207  6 Ce 2.99, 3 Cu 3.01, 1 Zn 3.13
Ce: 0.9069 0.9069 0.2793  6 Ce 2.99, 3 Cu 3.01, 1 Zn 3.13
Cu: 0.5000 0.5000 0.5000  6 Cu 2.99, 6 Ce 3.01
Zn: 0.0000 0.0000 0.0000  6 Zn 2.99, 2 Ce 3.13

Values from the calculation:
The calculation puts the electronic total energy at -4.043 eV/atom. Its formation energy is 0.2661 eV per atom. The crystal system is trigonal.



No. 9
SmPuCo | GGA-PBE | optimized geometry

Cell: 4.6016 4.2120 4.2120 Å, 120.00 90.00 90.00°
Closest atoms and distances in Å follow each position.
Atoms (fractional coordinates):
Sm: 0.6667 0.6667 0.3333  6 Co 3.35, 6 Pu 3.35
Pu: 0.1668 0.3333 0.6667  3 Co 2.43
Co: 0.1665 0.0000 0.0000  3 Pu 2.43

Values from the calculation:
The calculation puts the electronic total energy at -8.549 eV/atom. For the energy above the lowest structure with this stoichiometry, the calculation gives 0.633 eV per formula unit. Its formation energy is 0.1701 eV per atom. The crystal system is hexagonal.



No. 10
Rb3Tm2SbTe6 | GGA-PBE | optimized geometry

Cell: 7.8259 7.8259 8.9090 Å, 98.42 98.42 120.00°
Closest atoms and distances in Å follow each position.
Atoms (fractional coordinates):
Te: 0.0654 0.4009 0.1960  2 Tm 3.09, 1 Sb 3.11
Te: 0.4009 0.0654 0.1960  2 Tm 3.09, 1 Sb 3.11
Te: 0.9346 0.5991 0.8040  2 Tm 3.09, 1 Sb 3.11
Te: 0.2704 0.2704 0.8044  2 Tm 3.09, 1 Sb 3.11
Te: 0.5991 0.9346 0.8040  2 Tm 3.09, 1 Sb 3.11
Te: 0.7296 0.7296 0.1956  2 Tm 3.09, 1 Sb 3.11
Rb: 0.8344 0.1656 0.5000  6 Te 3.67-3.68
Rb: 0.5000 0.5000 0.5000  6 Te 3.67-3.68
Rb: 0.1656 0.8344 0.5000  6 Te 3.67-3.68
Sb: 0.0000 0.0000 0.0000  6 Te 3.11
Tm: 0.6668 0.3332 0.0000  6 Te 3.09
Tm: 0.3332 0.6668 0.0000  6 Te 3.09

Values from the calculation:
The calculation puts the electronic total energy at -3.979 eV/atom. The crystal system is monoclinic. Its energy relative to the elements, uncorrected is -1077.3 meV per atom.



No. 11
Ba2TaCu2O6 | GGA-PBE | optimized geometry

Cell: 6.0039 6.0039 6.3807 Å, 61.93 61.93 60.00°
Closest atoms and distances in Å follow each position.
Atoms (fractional coordinates):
O: 0.2261 0.7711 0.2317  1 Cu 1.90, 1 Ta 2.01
O: 0.2289 0.7739 0.7683  1 Cu 1.90, 1 Ta 2.01
O: 0.7739 0.2289 0.7683  1 Cu 1.90, 1 Ta 2.01
O: 0.7711 0.7711 0.2317  1 Cu 1.90, 1 Ta 2.01
O: 0.7711 0.2261 0.2317  1 Cu 1.90, 1 Ta 2.01
O: 0.2289 0.2289 0.7683  1 Cu 1.90, 1 Ta 2.01
Ba: 0.7760 0.7760 0.6721  9 O 2.84-3.05, 1 Cu 3.15
Ba: 0.2240 0.2240 0.3279  9 O 2.84-3.05, 1 Cu 3.15
Cu: 0.4201 0.4201 0.7398  3 O 1.90
Cu: 0.5799 0.5799 0.2602  3 O 1.90
Ta: 0.0000 0.0000 0.0000  6 O 2.01

Values from the calculation:
The calculation puts the electronic total energy at -6.957 eV/atom. The crystal system is trigonal. Its energy relative to the elements, uncorrected is -2080.3 meV per atom.



No. 12
MgAlW2 | GGA-PBE | optimized geometry

Cell: 4.4931 4.4931 4.4931 Å, 60.00 60.00 60.00°
Closest atoms and distances in Å follow each position.
Atoms (fractional coordinates):
Al: 0.5000 0.5000 0.5000  8 W 2.75
W: 0.7500 0.7500 0.7500  4 Mg 2.75, 4 Al 2.75
W: 0.2500 0.2500 0.2500  4 Al 2.75, 4 Mg 2.75
Mg: 0.0000 0.0000 0.0000  8 W 2.75

Values from the calculation:
The calculation puts the electronic total energy at -7.129 eV/atom. For the energy above the lowest structure with this stoichiometry, the calculation gives 2.120 eV per formula unit. Its formation energy is 0.6822 eV per atom. The crystal system is cubic.



Q: electronic total energy of number 1 (CrIrBr2)?
A: -4.777 eV/atom



Q: Which of these has the lowest electronic total energy?
A: SmPuCo